[1]
Below is crystalline RbCd12Au4 at its relaxed geometry, with properties calculated at the PBE-GGA level.

Output
Uncorrected energy = -1.496 eV/atom
Magnetic moment = 0.000 μB/atom

a = 8.4799 Å, b = 8.4799 Å, c = 8.4799 Å
α = 109.47°, β = 109.47°, γ = 109.47°
Sites, in units of the cell vectors:
Cd1 0.6494 0.4921 0.8426
Cd2 0.5079 0.1574 0.3506
Cd3 0.8068 0.1574 0.6494
Cd4 0.4921 0.8426 0.6494
Cd5 0.1932 0.8426 0.3506
Cd6 0.1574 0.3506 0.5079
Cd7 0.8426 0.6494 0.4921
Cd8 0.3506 0.5079 0.1574
Cd9 0.3506 0.1932 0.8426
Cd10 0.1574 0.6494 0.8068
Cd11 0.6494 0.8068 0.1574
Cd12 0.8426 0.3506 0.1932
Au1 0.0000 0.0000 0.5000
Au2 0.5000 0.5000 0.5000
Au3 0.5000 0.0000 0.0000
Au4 0.0000 0.5000 0.0000
Rb1 0.0000 0.0000 0.0000

[2]
Below is crystalline RbCd6Au2 at its relaxed geometry, with properties calculated at the PBE-GGA level.

Output
Uncorrected energy = -1.390 eV/atom
Magnetic moment = 0.000 μB/atom
Energy relative to the lowest polymorph listed for this composition = 0.143 eV/atom

a = 9.5600 Å, b = 9.5600 Å, c = 9.5600 Å
α = 60.00°, β = 60.00°, γ = 60.00°
Sites, in units of the cell vectors:
Au1 0.1250 0.1250 0.1250
Au2 0.1250 0.1250 0.6250
Au3 0.1250 0.6250 0.1250
Au4 0.6250 0.1250 0.1250
Cd1 0.0262 0.4738 0.0262
Cd2 0.0262 0.0262 0.4738
Cd3 0.2238 0.7762 0.7762
Cd4 0.7762 0.7762 0.2238
Cd5 0.4738 0.0262 0.0262
Cd6 0.2238 0.2238 0.7762
Cd7 0.2238 0.7762 0.2238
Cd8 0.7762 0.2238 0.7762
Cd9 0.7762 0.2238 0.2238
Cd10 0.0262 0.4738 0.4738
Cd11 0.4738 0.0262 0.4738
Cd12 0.4738 0.4738 0.0262
Rb1 0.5000 0.5000 0.5000
Rb2 0.7500 0.7500 0.7500

[3]
Below is crystalline Rb2Cd2Au at its relaxed geometry, with properties calculated at the PBE-GGA level.

Output
Uncorrected energy = -1.526 eV/atom
Magnetic moment = 0.000 μB/atom
Energy relative to the lowest polymorph listed for this composition = 0.029 eV/atom

a = 4.2091 Å, b = 4.2091 Å, c = 11.2013 Å
α = 79.17°, β = 79.17°, γ = 90.00°
Sites, in units of the cell vectors:
Cd1 0.2500 0.7500 0.5000
Cd2 0.7500 0.2500 0.5000
Rb1 0.5941 0.5941 0.8117
Rb2 0.4059 0.4059 0.1883
Au1 0.0000 0.0000 0.0000

[4]
Below is crystalline Rb2Cd4Au5 at its relaxed geometry, with properties calculated at the PBE-GGA level.

Output
Uncorrected energy = -2.185 eV/atom
Magnetic moment = 0.000 μB/atom

a = 6.4683 Å, b = 6.3483 Å, c = 9.0639 Å
α = 79.53°, β = 69.10°, γ = 59.37°
Sites, in units of the cell vectors:
Cd1 0.2121 0.3197 0.2561
Cd2 0.7879 0.6803 0.7439
Cd3 0.5318 0.6803 0.2561
Cd4 0.4682 0.3197 0.7439
Au1 0.5000 0.0000 0.0000
Au2 0.2500 0.5000 0.5000
Au3 0.7500 0.5000 0.5000
Au4 0.0000 0.5000 0.0000
Au5 0.5000 0.5000 0.0000
Rb1 0.8692 0.0000 0.2617
Rb2 0.1308 0.0000 0.7383

[5]
Below is crystalline Rb2Cd6Au3 at its relaxed geometry, with properties calculated at the PBE-GGA level.

Output
Uncorrected energy = -1.732 eV/atom
Magnetic moment = 0.000 μB/atom

a = 4.6875 Å, b = 8.7342 Å, c = 8.7342 Å
α = 120.00°, β = 90.00°, γ = 90.00°
Sites, in units of the cell vectors:
Cd1 0.5000 0.2915 0.0000
Cd2 0.0000 0.8044 0.0000
Cd3 0.5000 0.7085 0.7085
Cd4 0.5000 0.0000 0.2915
Cd5 0.0000 0.1956 0.1956
Cd6 0.0000 0.0000 0.8044
Au1 0.5000 0.6207 0.0000
Au2 0.5000 0.3793 0.3793
Au3 0.5000 0.0000 0.6207
Rb1 0.0000 0.3333 0.6667
Rb2 0.0000 0.6667 0.3333

[6]
Below is crystalline Rb3CdAu at its relaxed geometry, with properties calculated at the PBE-GGA level.

Output
Uncorrected energy = -1.525 eV/atom
Magnetic moment = 0.000 μB/atom
Energy relative to the lowest polymorph listed for this composition = 0.023 eV/atom

a = 8.6413 Å, b = 8.6413 Å, c = 8.7158 Å
α = 109.67°, β = 117.42°, γ = 101.30°
Sites, in units of the cell vectors:
Rb1 0.2358 0.4115 0.2638
Rb2 0.1477 0.9720 0.7362
Rb3 0.8523 0.0280 0.2638
Rb4 0.2885 0.5643 0.8528
Rb5 0.7642 0.5885 0.7362
Rb6 0.7115 0.4357 0.1472
Au1 0.3898 0.2217 0.6114
Au2 0.6102 0.7783 0.3886
Cd1 0.3315 0.9403 0.2718
Cd2 0.6685 0.0597 0.7282

[7]
Below is crystalline Rb8Cd2Au at its relaxed geometry, with properties calculated at the PBE-GGA level.

Output
Uncorrected energy = -1.217 eV/atom
Magnetic moment = 0.000 μB/atom
Energy relative to the lowest polymorph listed for this composition = 0.000 eV/atom

a = 6.3805 Å, b = 8.8943 Å, c = 12.2254 Å
α = 106.70°, β = 105.13°, γ = 90.00°
Sites, in units of the cell vectors:
Rb1 0.4098 0.5815 0.8195
Rb2 0.6550 0.9627 0.3101
Rb3 0.5902 0.4185 0.1805
Rb4 0.3450 0.0373 0.6899
Rb5 0.2153 0.3099 0.4306
Rb6 0.7847 0.6901 0.5694
Rb7 0.9740 0.1988 0.9479
Rb8 0.0260 0.8012 0.0521
Cd1 0.8219 0.2921 0.6437
Cd2 0.1781 0.7079 0.3563
Au1 0.5000 0.0000 0.0000

[8]
Below is crystalline Rb3Cd8Au at its relaxed geometry, with properties calculated at the PBE-GGA level.

Output
Uncorrected energy = -1.146 eV/atom
Magnetic moment = 0.000 μB/atom

a = 6.4064 Å, b = 6.4064 Å, c = 11.2467 Å
α = 73.45°, β = 73.45°, γ = 60.00°
Sites, in units of the cell vectors:
Cd1 0.9370 0.4392 0.1847
Cd2 0.9443 0.4373 0.6741
Cd3 0.6901 0.6901 0.9298
Cd4 0.4373 0.9443 0.6741
Cd5 0.1930 0.1930 0.4211
Cd6 0.4392 0.9370 0.1847
Cd7 0.4392 0.4392 0.1847
Cd8 0.9443 0.9443 0.6741
Au1 0.8455 0.8455 0.4635
Rb1 0.5056 0.5056 0.4831
Rb2 0.9977 0.9977 0.0068
Rb3 0.3769 0.3769 0.8694

[9]
Below is crystalline Rb3Cd3Au at its relaxed geometry, with properties calculated at the PBE-GGA level.

Output
Uncorrected energy = -1.405 eV/atom
Magnetic moment = 0.000 μB/atom

a = 5.1852 Å, b = 7.0959 Å, c = 16.7720 Å
α = 84.86°, β = 81.11°, γ = 68.57°
Sites, in units of the cell vectors:
Rb1 0.3874 0.3062 0.9191
Rb2 0.5181 0.3549 0.6089
Rb3 0.4819 0.6451 0.3911
Rb4 0.7609 0.7193 0.7588
Rb5 0.2391 0.2807 0.2412
Rb6 0.6126 0.6938 0.0809
Cd1 0.0913 0.8971 0.9203
Cd2 0.1890 0.1617 0.4602
Cd3 0.8110 0.8383 0.5398
Cd4 0.0628 0.1151 0.7592
Cd5 0.9372 0.8849 0.2408
Cd6 0.9087 0.1029 0.0797
Au1 0.2354 0.9188 0.6103
Au2 0.7646 0.0812 0.3897

[10]
Below is crystalline RbCd6Au at its relaxed geometry, with properties calculated at the PBE-GGA level.

Output
Uncorrected energy = -1.273 eV/atom
Magnetic moment = 0.000 μB/atom
Energy relative to the lowest polymorph listed for this composition = 0.029 eV/atom

a = 4.8676 Å, b = 4.8676 Å, c = 11.2965 Å
α = 77.56°, β = 77.56°, γ = 60.00°
Sites, in units of the cell vectors:
Cd1 0.9114 0.9114 0.2658
Cd2 0.0886 0.0886 0.7342
Cd3 0.6395 0.6395 0.0815
Cd4 0.3605 0.3605 0.9185
Cd5 0.7413 0.7413 0.7762
Cd6 0.2587 0.2587 0.2238
Au1 0.0000 0.0000 0.0000
Rb1 0.5000 0.5000 0.5000

[11]
Below is crystalline RbCd11Au at its relaxed geometry, with properties calculated at the PBE-GGA level.

Output
Uncorrected energy = -1.154 eV/atom
Magnetic moment = 0.000 μB/atom

a = 5.9905 Å, b = 7.8748 Å, c = 7.8860 Å
α = 81.30°, β = 67.68°, γ = 66.52°
Sites, in units of the cell vectors:
Cd1 0.4973 0.7782 0.2172
Cd2 0.3688 0.6415 0.6497
Cd3 0.0185 0.6415 0.3503
Cd4 0.2855 0.2218 0.2172
Cd5 0.0000 0.5000 0.0000
Cd6 0.9815 0.3585 0.6497
Cd7 0.0000 0.0000 0.5000
Cd8 0.7145 0.7782 0.7828
Cd9 0.5027 0.2218 0.7828
Cd10 0.6312 0.3585 0.3503
Cd11 0.5000 0.0000 0.5000
Rb1 0.0000 0.0000 0.0000
Au1 0.5000 0.5000 0.0000

[12]
Below is crystalline Rb5CdAu3 at its relaxed geometry, with properties calculated at the PBE-GGA level.

Output
Uncorrected energy = -1.896 eV/atom
Magnetic moment = 0.015 μB/atom

a = 8.7890 Å, b = 8.7890 Å, c = 13.1557 Å
α = 112.89°, β = 103.53°, γ = 93.87°
Sites, in units of the cell vectors:
Au1 0.4905 0.3374 0.8279
Au2 0.5095 0.6626 0.1721
Au3 0.9783 0.4028 0.3812
Au4 0.5000 0.0000 0.5000
Au5 0.0217 0.5972 0.6188
Au6 0.0000 0.0000 0.0000
Rb1 0.7275 0.7275 0.0000
Rb2 0.2318 0.6988 0.9306
Rb3 0.2725 0.2725 0.0000
Rb4 0.7367 0.7022 0.4389
Rb5 0.2633 0.2978 0.5611
Rb6 0.3960 0.8864 0.6989
Rb7 0.7682 0.3012 0.0694
Rb8 0.1875 0.6971 0.3011
Rb9 0.6040 0.1136 0.3011
Rb10 0.8125 0.3029 0.6989
Cd1 0.8983 0.8627 0.7610
Cd2 0.1017 0.1373 0.2390

[13]
Below is crystalline Rb2Cd7Au at its relaxed geometry, with properties calculated at the PBE-GGA level.

Output
Uncorrected energy = -1.244 eV/atom
Magnetic moment = 0.000 μB/atom

a = 5.0526 Å, b = 5.0526 Å, c = 11.9833 Å
α = 90.00°, β = 90.00°, γ = 90.00°
Sites, in units of the cell vectors:
Cd1 0.5000 0.0000 0.1203
Cd2 0.0000 0.5000 0.6346
Cd3 0.0000 0.0000 0.0000
Cd4 0.5000 0.0000 0.3654
Cd5 0.0000 0.5000 0.8797
Cd6 0.5000 0.5000 0.5000
Cd7 0.0000 0.0000 0.5000
Au1 0.5000 0.5000 0.0000
Rb1 0.5000 0.0000 0.7611
Rb2 0.0000 0.5000 0.2389

[14]
Below is crystalline RbCd5Au2 at its relaxed geometry, with properties calculated at the PBE-GGA level.

Output
Uncorrected energy = -1.676 eV/atom
Magnetic moment = 0.000 μB/atom

a = 4.5680 Å, b = 7.3093 Å, c = 7.3093 Å
α = 69.36°, β = 71.79°, γ = 71.79°
Sites, in units of the cell vectors:
Au1 0.2514 0.2486 0.2486
Au2 0.7486 0.7514 0.7514
Cd1 0.3474 0.4658 0.8393
Cd2 0.0000 0.5000 0.5000
Cd3 0.6526 0.5342 0.1607
Cd4 0.6526 0.1607 0.5342
Cd5 0.3474 0.8393 0.4658
Rb1 0.0000 0.0000 0.0000

[15]
Below is crystalline RbCd2Au at its relaxed geometry, with properties calculated at the PBE-GGA level.

Output
Uncorrected energy = -1.720 eV/atom
Magnetic moment = 0.000 μB/atom
Energy relative to the lowest polymorph listed for this composition = 0.003 eV/atom

a = 4.9117 Å, b = 4.9117 Å, c = 6.9973 Å
α = 69.45°, β = 69.45°, γ = 60.00°
Sites, in units of the cell vectors:
Rb1 0.4951 0.4951 0.5148
Cd1 0.0200 0.0200 0.9400
Cd2 0.3046 0.3046 0.0863
Au1 0.6804 0.6804 0.9588

[16]
Below is crystalline Rb2Cd2Au at its relaxed geometry, with properties calculated at the PBE-GGA level.

Output
Uncorrected energy = -1.521 eV/atom
Magnetic moment = 0.000 μB/atom
Energy relative to the lowest polymorph listed for this composition = 0.033 eV/atom

a = 5.0974 Å, b = 5.0974 Å, c = 17.6426 Å
α = 98.31°, β = 98.31°, γ = 90.00°
Sites, in units of the cell vectors:
Au1 0.5000 0.5000 0.0000
Au2 0.2500 0.7500 0.5000
Rb1 0.5728 0.0728 0.1457
Rb2 0.8228 0.8228 0.6457
Rb3 0.1772 0.1772 0.3543
Rb4 0.9272 0.4272 0.8543
Cd1 0.4646 0.9646 0.9291
Cd2 0.7146 0.7146 0.4291
Cd3 0.2854 0.2854 0.5709
Cd4 0.0354 0.5354 0.0709

[17]
Below is crystalline Rb3CdAu at its relaxed geometry, with properties calculated at the PBE-GGA level.

Output
Uncorrected energy = -1.446 eV/atom
Magnetic moment = 0.080 μB/atom
Energy relative to the lowest polymorph listed for this composition = 0.101 eV/atom

a = 6.6611 Å, b = 6.6611 Å, c = 6.6611 Å
α = 90.00°, β = 90.00°, γ = 90.00°
Sites, in units of the cell vectors:
Rb1 0.5000 0.0000 0.0000
Rb2 0.0000 0.0000 0.5000
Rb3 0.0000 0.5000 0.0000
Au1 0.0000 0.0000 0.0000
Cd1 0.5000 0.5000 0.5000

[18]
Below is crystalline Rb2Cd5Au4 at its relaxed geometry, with properties calculated at the PBE-GGA level.

Output
Uncorrected energy = -1.984 eV/atom
Magnetic moment = 0.000 μB/atom

a = 6.3400 Å, b = 6.5305 Å, c = 9.0343 Å
α = 80.19°, β = 69.46°, γ = 60.96°
Sites, in units of the cell vectors:
Au1 0.4827 0.2959 0.7388
Au2 0.2215 0.2959 0.2612
Au3 0.7785 0.7041 0.7388
Au4 0.5173 0.7041 0.2612
Cd1 0.7500 0.5000 0.5000
Cd2 0.2500 0.5000 0.5000
Cd3 0.0000 0.5000 0.0000
Cd4 0.5000 0.0000 0.0000
Cd5 0.5000 0.5000 0.0000
Rb1 0.1468 0.0000 0.7063
Rb2 0.8532 0.0000 0.2937

[19]
Below is crystalline Rb4Cd5Au2 at its relaxed geometry, with properties calculated at the PBE-GGA level.

Output
Uncorrected energy = -1.477 eV/atom
Magnetic moment = 0.000 μB/atom

a = 5.6156 Å, b = 7.6524 Å, c = 9.3800 Å
α = 89.87°, β = 90.00°, γ = 90.00°
Sites, in units of the cell vectors:
Cd1 0.0000 0.5000 0.0000
Cd2 0.0000 0.8617 0.8839
Cd3 0.0000 0.5605 0.3392
Cd4 0.0000 0.1383 0.1161
Cd5 0.0000 0.4395 0.6608
Au1 0.0000 0.0676 0.6379
Au2 0.0000 0.9324 0.3621
Rb1 0.5000 0.2352 0.3940
Rb2 0.5000 0.7648 0.6060
Rb3 0.5000 0.7751 0.1444
Rb4 0.5000 0.2249 0.8556

[20]
Below is crystalline RbCd6Au2 at its relaxed geometry, with properties calculated at the PBE-GGA level.

Output
Uncorrected energy = -1.533 eV/atom
Magnetic moment = 0.000 μB/atom
Energy relative to the lowest polymorph listed for this composition = 0.000 eV/atom

a = 5.2545 Å, b = 5.2545 Å, c = 8.4983 Å
α = 90.00°, β = 90.00°, γ = 90.00°
Sites, in units of the cell vectors:
Cd1 0.5000 0.0000 0.3018
Cd2 0.5000 0.5000 0.5000
Cd3 0.5000 0.0000 0.6982
Cd4 0.0000 0.5000 0.6982
Cd5 0.0000 0.5000 0.3018
Cd6 0.0000 0.0000 0.5000
Rb1 0.0000 0.0000 0.0000
Au1 0.5000 0.5000 0.8386
Au2 0.5000 0.5000 0.1614

[21]
Below is crystalline Rb2CdAu at its relaxed geometry, with properties calculated at the PBE-GGA level.

Output
Uncorrected energy = -1.733 eV/atom
Magnetic moment = 0.000 μB/atom

a = 4.9449 Å, b = 4.9437 Å, c = 9.3871 Å
α = 74.76°, β = 74.73°, γ = 59.99°
Sites, in units of the cell vectors:
Au1 0.4694 0.2320 0.8293
Rb1 0.7145 0.4784 0.0927
Rb2 0.8905 0.6528 0.5662
Cd1 0.1359 0.8989 0.8293

| no. | energy of formation from the pure elements (eV/atom) |
| --- | --- |
| 1 | -0.02 |
| 2 | 0.06 |
| 3 | -0.12 |
| 4 | -0.19 |
| 5 | -0.16 |
| 6 | -0.11 |
| 7 | -0.05 |
| 8 | -0.02 |
| 9 | -0.13 |
| 10 | -0.06 |
| 11 | -0.05 |
| 12 | -0.16 |
| 13 | -0.08 |
| 14 | -0.16 |
| 15 | -0.20 |
| 16 | -0.11 |
| 17 | -0.03 |
| 18 | -0.20 |
| 19 | -0.11 |
| 20 | -0.09 |
| 21 | -0.20 |